! AgAu2 | Alexandria via LeMat-Bulk | PBEsol | relaxed; values from VASP
! electronic total energy = -3.7256 eV per atom
! magnetic moment = 0.00 μB/f.u.
! D(E_F) = 2.55 states/eV per cell
&SYSTEM
  ibrav = 0, nat = 9, ntyp = 2
/
ATOMIC_SPECIES
Au 196.97 Au.upf
Ag 107.87 Ag.upf
CELL_PARAMETERS angstrom
-1.821 2.098 0.406
-2.619 -0.840 -7.408
-3.379 -4.069 5.870
ATOMIC_POSITIONS crystal
Au 0.000 0.308 0.000
Au 0.000 0.000 0.308
Ag 0.000 0.667 0.333
Au 0.500 0.641 0.000
Au 0.000 0.692 0.692
Au 0.500 0.359 0.359
Ag 0.500 0.000 0.000
Au 0.500 0.000 0.641
Ag 0.000 0.333 0.667